No. 1
# PBE YAg2, relaxed
# Calculated volume   22.40 Å³ per atom
# Size of the total moment   0.00 μB per formula unit
# Energy of formation   -0.1206 eV per atom
# Fermi-level density of states   2.3 states/eV/f.u.
# Raw total energy   -100.2 eV for the cell shown
data_YAg2
_chemical_formula_sum 'Y8 Ag16'
_symmetry_space_group_name_H-M 'I 41/a m d'
_symmetry_Int_Tables_number 141
_cell_length_a 4.458
_cell_length_b 4.458
_cell_length_c 27.052
_cell_angle_alpha 90.00
_cell_angle_beta 90.00
_cell_angle_gamma 90.00
loop_
_symmetry_equiv_pos_as_xyz
'x,y,z'
'-x,-y,-z'
'-y+1/4,x+3/4,z+1/4'
'y+1/4,-x+3/4,-z+1/4'
'-x+1/2,-y,z+1/2'
'x+1/2,y,-z+1/2'
'y+1/4,-x+1/4,z+3/4'
'-y+1/4,x+1/4,-z+3/4'
'x,-y,-z'
'-x,y,z'
'-y+1/4,-x+1/4,-z+3/4'
'y+1/4,x+1/4,z+3/4'
'-x+1/2,y,-z+1/2'
'x+1/2,-y,z+1/2'
'y+1/4,x+3/4,-z+1/4'
'-y+1/4,-x+3/4,z+1/4'
'x+1/2,y+1/2,z+1/2'
'-x+1/2,-y+1/2,-z+1/2'
'-y+3/4,x+1/4,z+3/4'
'y+3/4,-x+1/4,-z+3/4'
'-x,-y+1/2,z'
'x,y+1/2,-z'
'y+3/4,-x+3/4,z+1/4'
'-y+3/4,x+3/4,-z+1/4'
'x+1/2,-y+1/2,-z+1/2'
'-x+1/2,y+1/2,z+1/2'
'-y+3/4,-x+3/4,-z+1/4'
'y+3/4,x+3/4,z+1/4'
'-x,y+1/2,-z'
'x,-y+1/2,z'
'y+3/4,x+1/4,-z+3/4'
'-y+3/4,-x+1/4,z+3/4'
loop_
_atom_site_label
_atom_site_fract_x
_atom_site_fract_y
_atom_site_fract_z
Y1 0.000 0.250 0.298
Ag1 0.000 0.250 0.127
Ag2 0.000 0.250 0.793


No. 2
# PBE MgPRh2, relaxed
# Calculated volume   13.74 Å³ per atom
# Size of the total moment   0.00 μB per formula unit
# Energy of formation   -0.4619 eV per atom
# Fermi-level density of states   1.0 states/eV/f.u.
# Raw total energy   -47.1 eV for the cell shown
data_MgPRh2
_chemical_formula_sum 'Mg2 P2 Rh4'
_symmetry_space_group_name_H-M 'I 4/m m m'
_symmetry_Int_Tables_number 139
_symmetry_space_group_name_Hall '-I 4 2'
_cell_length_a 4.055
_cell_length_b 4.055
_cell_length_c 6.685
_cell_angle_alpha 90.00
_cell_angle_beta 90.00
_cell_angle_gamma 90.00
loop_
_atom_site_label
_atom_site_fract_x
_atom_site_fract_y
_atom_site_fract_z
Mg1 0.000 0.000 0.000
P1 0.000 0.000 0.500
Rh1 0.000 0.500 0.250


No. 3
# PBE PmNpSn, relaxed
# Calculated volume   28.37 Å³ per atom
# Size of the total moment   4.75 μB per formula unit
# Energy of formation   -0.2534 eV per atom
# Fermi-level density of states   6.8 states/eV/f.u.
# Raw total energy   -44.9 eV for the cell shown
data_PmNpSn
_chemical_formula_sum 'Pm2 Np2 Sn2'
_symmetry_space_group_name_H-M 'P 4/n m m'
_symmetry_Int_Tables_number 129
_cell_length_a 4.352
_cell_length_b 4.352
_cell_length_c 8.986
_cell_angle_alpha 90.00
_cell_angle_beta 90.00
_cell_angle_gamma 90.00
loop_
_symmetry_equiv_pos_as_xyz
'x,y,z'
'-x,-y,-z'
'-y+1/2,x,z'
'y+1/2,-x,-z'
'-x+1/2,-y+1/2,z'
'x+1/2,y+1/2,-z'
'y,-x+1/2,z'
'-y,x+1/2,-z'
'x+1/2,-y,-z'
'-x+1/2,y,z'
'-y,-x,-z'
'y,x,z'
'-x,y+1/2,-z'
'x,-y+1/2,z'
'y+1/2,x+1/2,-z'
'-y+1/2,-x+1/2,z'
loop_
_atom_site_label
_atom_site_fract_x
_atom_site_fract_y
_atom_site_fract_z
Pm1 0.250 0.250 0.141
Np1 0.250 0.750 0.500
Sn1 0.250 0.250 0.771


No. 4
# PBE SiNi2Mo2, relaxed
# Calculated volume   13.38 Å³ per atom
# Formation energy without anion corrections   -0.05 eV per atom
# Size of the total moment   0.00 μB per formula unit
# Fermi-level density of states   5.0 states/eV/f.u.
# Raw total energy   -77.8 eV for the cell shown
data_SiNi2Mo2
_chemical_formula_sum 'Si2 Ni4 Mo4'
_symmetry_space_group_name_H-M 'P 4/m b m'
_symmetry_Int_Tables_number 127
_symmetry_space_group_name_Hall '-P 4 2ab'
_cell_length_a 5.764
_cell_length_b 5.764
_cell_length_c 4.028
_cell_angle_alpha 90.00
_cell_angle_beta 90.00
_cell_angle_gamma 90.00
loop_
_atom_site_label
_atom_site_fract_x
_atom_site_fract_y
_atom_site_fract_z
Si1 0.000 0.000 0.000
Ni1 0.142 0.358 0.000
Mo1 0.162 0.662 0.500


What is the size of the total moment in the first record? 0.00 μB per formula unit


Repeat the third record exactly.
# PBE PmNpSn, relaxed
# Calculated volume   28.37 Å³ per atom
# Size of the total moment   4.75 μB per formula unit
# Energy of formation   -0.2534 eV per atom
# Fermi-level density of states   6.8 states/eV/f.u.
# Raw total energy   -44.9 eV for the cell shown
data_PmNpSn
_chemical_formula_sum 'Pm2 Np2 Sn2'
_symmetry_space_group_name_H-M 'P 4/n m m'
_symmetry_Int_Tables_number 129
_cell_length_a 4.352
_cell_length_b 4.352
_cell_length_c 8.986
_cell_angle_alpha 90.00
_cell_angle_beta 90.00
_cell_angle_gamma 90.00
loop_
_symmetry_equiv_pos_as_xyz
'x,y,z'
'-x,-y,-z'
'-y+1/2,x,z'
'y+1/2,-x,-z'
'-x+1/2,-y+1/2,z'
'x+1/2,y+1/2,-z'
'y,-x+1/2,z'
'-y,x+1/2,-z'
'x+1/2,-y,-z'
'-x+1/2,y,z'
'-y,-x,-z'
'y,x,z'
'-x,y+1/2,-z'
'x,-y+1/2,z'
'y+1/2,x+1/2,-z'
'-y+1/2,-x+1/2,z'
loop_
_atom_site_label
_atom_site_fract_x
_atom_site_fract_y
_atom_site_fract_z
Pm1 0.250 0.250 0.141
Np1 0.250 0.750 0.500
Sn1 0.250 0.250 0.771


Which of these has the highest raw total energy? PmNpSn


Look up the calculated volume of the third one. 28.37 Å³ per atom